Below is an optimized crystal structure of Pm2ThTc, with properties calculated at the PBE level.

```
Pm2ThTc
1.0
3.4280 0.0000 0.0000
1.7140 2.9687 0.0000
1.7140 0.9896 11.0913
Th Tc Pm
1 1 2
Direct
0.5000 0.5000 0.5000
0.0000 0.0000 0.0000
0.9235 0.9235 0.2294
0.0765 0.0765 0.7706
```

Output
energy of formation: 0.676 eV/atom
E: -6.146 eV per atom